Entry 1:
# HoZrZn3 | Alexandria via LeMat-Bulk | PBE-GGA | optimized geometry
data_HoZrZn3
_chemical_formula_sum 'Ho4 Zr4 Zn12'
_cell_length_a 16.306
_cell_length_b 4.362
_cell_length_c 5.873
_cell_angle_alpha 90.00
_cell_angle_beta 103.77
_cell_angle_gamma 90.00
_space_group_name_H-M_alt 'C 1 2/m 1'
_space_group_IT_number 12
loop_
_space_group_symop_operation_xyz
'x,y,z'
'-x,-y,-z'
'-x,y,-z'
'x,-y,z'
'x+1/2,y+1/2,z'
'-x+1/2,-y+1/2,-z'
'-x+1/2,y+1/2,-z'
'x+1/2,-y+1/2,z'
loop_
_atom_site_label
_atom_site_fract_x
_atom_site_fract_y
_atom_site_fract_z
Ho1 0.083 0.000 0.331
Zr1 0.200 0.500 0.100
Zn1 0.053 0.500 0.695
Zn2 0.117 0.000 0.853
Zn3 0.211 0.500 0.595
# * ΔE_f: -0.20 eV per atom

Entry 2:
# Ho8Zr | Alexandria via LeMat-Bulk | PBE-GGA | optimized geometry
data_Ho8Zr
_chemical_formula_sum 'Ho16 Zr2'
_cell_length_a 10.479
_cell_length_b 10.479
_cell_length_c 4.892
_cell_angle_alpha 90.00
_cell_angle_beta 90.00
_cell_angle_gamma 90.00
_space_group_name_H-M_alt 'I 4/m m m'
_space_group_IT_number 139
_space_group_name_Hall '-I 4 2'
loop_
_atom_site_label
_atom_site_fract_x
_atom_site_fract_y
_atom_site_fract_z
Ho1 0.000 0.328 0.000
Ho2 0.161 0.161 0.500
Zr1 0.000 0.000 0.000
# * ΔE_f: 0.04 eV per atom

Entry 3:
# Ho2Zr | Alexandria via LeMat-Bulk | PBE-GGA | optimized geometry
data_Ho2Zr
_chemical_formula_sum 'Ho4 Zr2'
_cell_length_a 3.392
_cell_length_b 3.392
_cell_length_c 14.593
_cell_angle_alpha 90.00
_cell_angle_beta 90.00
_cell_angle_gamma 90.00
_space_group_name_H-M_alt 'I 4/m m m'
_space_group_IT_number 139
_space_group_name_Hall '-I 4 2'
loop_
_atom_site_label
_atom_site_fract_x
_atom_site_fract_y
_atom_site_fract_z
Ho1 0.000 0.000 0.156
Zr1 0.000 0.000 0.500
# * ΔE_f: 0.07 eV per atom

Entry 4:
# InI4 | Alexandria via LeMat-Bulk | PBE-GGA | optimized geometry
data_InI4
_chemical_formula_sum 'In4 I16'
_cell_length_a 7.450
_cell_length_b 13.013
_cell_length_c 11.867
_cell_angle_alpha 90.00
_cell_angle_beta 93.88
_cell_angle_gamma 90.00
_space_group_name_H-M_alt 'C 1 2/m 1'
_space_group_IT_number 12
loop_
_space_group_symop_operation_xyz
'x,y,z'
'-x,-y,-z'
'-x,y,-z'
'x,-y,z'
'x+1/2,y+1/2,z'
'-x+1/2,-y+1/2,-z'
'-x+1/2,y+1/2,-z'
'x+1/2,-y+1/2,z'
loop_
_atom_site_label
_atom_site_fract_x
_atom_site_fract_y
_atom_site_fract_z
In1 0.000 0.172 0.000
I1 0.103 0.500 0.600
I2 0.163 0.000 0.141
I3 0.196 0.323 0.147
# * formation energy from raw total energies: -0.35 eV/atom

Entry 5:
# InI | Alexandria via LeMat-Bulk | PBE-GGA | optimized geometry
data_InI
_chemical_formula_sum 'In8 I8'
_cell_length_a 12.856
_cell_length_b 12.856
_cell_length_c 4.619
_cell_angle_alpha 90.00
_cell_angle_beta 90.00
_cell_angle_gamma 90.00
_space_group_name_H-M_alt 'I 4/m'
_space_group_IT_number 87
_space_group_name_Hall '-I 4'
loop_
_atom_site_label
_atom_site_fract_x
_atom_site_fract_y
_atom_site_fract_z
In1 0.154 0.234 0.000
I1 0.015 0.741 0.500
# * formation energy from raw total energies: -0.40 eV/atom

Entry 6:
# In4I | Alexandria via LeMat-Bulk | PBE-GGA | optimized geometry
data_In4I
_chemical_formula_sum 'In4 I1'
_cell_length_a 6.258
_cell_length_b 6.258
_cell_length_c 6.258
_cell_angle_alpha 90.00
_cell_angle_beta 90.00
_cell_angle_gamma 90.00
_space_group_name_H-M_alt 'P m -3 m'
_space_group_IT_number 221
_space_group_name_Hall '-P 4 2 3'
loop_
_atom_site_label
_atom_site_fract_x
_atom_site_fract_y
_atom_site_fract_z
In1 0.000 0.000 0.000
In2 0.000 0.500 0.500
I1 0.500 0.500 0.500
# * formation energy from raw total energies: 0.49 eV/atom

Entry 7:
# InI | Alexandria via LeMat-Bulk | PBE-GGA | optimized geometry
data_InI
_chemical_formula_sum 'In6 I6'
_cell_length_a 12.8114
_cell_length_b 12.8114
_cell_length_c 4.8359
_cell_angle_alpha 90.00
_cell_angle_beta 90.00
_cell_angle_gamma 120.00
_space_group_name_H-M_alt 'P 63/m'
_space_group_IT_number 176
_space_group_name_Hall '-P 6c'
loop_
_atom_site_label
_atom_site_fract_x
_atom_site_fract_y
_atom_site_fract_z
In1 0.1644 0.6387 0.2500
I1 0.1133 0.4336 0.7500
# * formation energy from raw total energies: -0.41 eV/atom

Entry 8:
# In4I5 | Alexandria via LeMat-Bulk | PBE-GGA | optimized geometry
data_In4I5
_chemical_formula_sum 'In8 I10'
_cell_length_a 10.724
_cell_length_b 10.724
_cell_length_c 6.674
_cell_angle_alpha 90.00
_cell_angle_beta 90.00
_cell_angle_gamma 90.00
_space_group_name_H-M_alt 'I 4/m'
_space_group_IT_number 87
_space_group_name_Hall '-I 4'
loop_
_atom_site_label
_atom_site_fract_x
_atom_site_fract_y
_atom_site_fract_z
In1 0.101 0.710 0.000
I1 0.000 0.000 0.000
I2 0.097 0.696 0.500
# * formation energy from raw total energies: -0.43 eV/atom

| no. | total moment (μB/atom) | final energy (eV per atom) |
| --- | --- | --- |
| 1 | 0.0004 | -3.59 |
| 2 | 0.0000 | -4.97 |
| 3 | 0.0000 | -5.83 |
| 4 | 0.0000 | -2.14 |
| 5 | 0.0000 | -2.54 |
| 6 | 0.0000 | -2.01 |
| 7 | 0.0000 | -2.55 |
| 8 | 0.0000 | -2.51 |